1.
Below is BaHg2Pb3 after structural relaxation, with properties calculated at the GGA-PBE level.

Values from the calculation:
- formation enthalpy at 0 K (eV per atom) = -0.224
- magnetization (μB/atom) = 0.00

```
BaHg2Pb3
1.0
-4.920 0.150 -4.750
6.493 -1.123 -1.836
-0.693 -4.930 0.563
Ba Hg Pb
1 2 3
direct
0.000 0.000 0.500
0.667 0.333 0.500
0.333 0.667 0.500
0.500 0.000 0.000
0.500 0.500 0.000
0.000 0.500 0.000
```

***

2.
Below is LiMnAs after structural relaxation, with properties calculated at the GGA-PBE level.

Values from the calculation:
- formation enthalpy at 0 K (eV per atom) = -0.234
- magnetization (μB/atom) = 1.28

```
LiMnAs
1.0
-2.456 3.471 0.326
-1.303 -3.699 1.676
2.471 1.298 4.787
As Mn Li
2 2 2
direct
0.333 0.667 0.250
0.667 0.333 0.750
0.000 0.000 0.000
0.000 0.000 0.500
0.333 0.667 0.750
0.667 0.333 0.250
```